A geometry-optimized ZrRe3 structure, computed with GGA-PBE.

Cell lengths 2.8069, 2.8069, 29.0003 Å; angles 90.00, 90.00, 120.00 degrees
Closest atoms and distances in Å follow each position.
Space group R-3m (No. 166, hexagonal axes)
Unique sites:
Zr1 0.0000 0.0000 0.0000 (multiplicity 3)  6 Zr 2.81, 6 Re 3.09
Re1 0.0000 0.0000 0.2427 (multiplicity 6)  9 Re 2.74-2.81
Re2 0.0000 0.0000 0.5000 (multiplicity 3)  12 Re 2.74-2.81

Offset from the most stable computed form: 205.7 meV per atom
D(E_F): 11.72 states/eV per cell
Formation energy: 195 meV/atom